DFT (PBE+U) results for a relaxed structure of Li2Mn2CuO6.

Values from the calculation:
Density in g cm⁻³: 4.05
Calculated total energy in eV/f.u.: -67.73
Total moment in μB/atom: 0.64
DOS at the Fermi energy in states/eV/cell: 1.35

a = 5.121 Å, b = 5.121 Å, c = 10.368 Å
α = 90.00°, β = 90.00°, γ = 121.21°
Sites, in units of the cell vectors:
O (0.500, 0.127, 0.393)
Cu (0.500, 0.500, 0.500)
Mn (0.835, 0.165, 0.500)
Li (0.682, 0.182, 0.750)
O (0.000, 0.373, 0.893)
O (0.627, 0.000, 0.107)
O (0.873, 0.500, 0.607)
Mn (0.165, 0.835, 0.500)
O (0.000, 0.627, 0.107)
O (0.335, 0.335, 0.093)
Cu (0.000, 0.000, 0.000)
Mn (0.665, 0.335, 0.000)
Li (0.318, 0.818, 0.250)
Li (0.818, 0.318, 0.250)
Mn (0.335, 0.665, 0.000)
Li (0.182, 0.682, 0.750)
O (0.665, 0.665, 0.907)
O (0.373, 0.000, 0.893)
O (0.165, 0.165, 0.593)
O (0.500, 0.873, 0.607)
O (0.127, 0.500, 0.393)
O (0.835, 0.835, 0.407)